Rb3DyPu2Te6 | Alexandria | PBE | relaxed; DOS(E_F) = 2.23 states/eV per atom; raw total energy = -5.77 eV/atom; V = 38.702 Å³ per atom; ΔE_f (raw) = -1.190 eV per atom
1.0
7.933 -0.001 0.000
-3.966 6.871 0.000
-1.323 -2.291 8.521
Rb Dy Te Pu
3 1 6 2
Direct
0.833 0.167 0.500 Rb
0.167 0.833 0.500 Rb
0.500 0.500 0.500 Rb
0.000 0.000 0.000 Dy
0.603 0.934 0.801 Te
0.397 0.066 0.199 Te
0.264 0.264 0.801 Te
0.736 0.736 0.199 Te
0.066 0.397 0.199 Te
0.934 0.603 0.801 Te
0.333 0.667 0.000 Pu
0.667 0.333 0.000 Pu

---

Rb3DyPu3Te8 | Alexandria | PBE | relaxed; DOS(E_F) = 2.53 states/eV per atom; raw total energy = -6.16 eV/atom; V = 40.688 Å³ per atom; ΔE_f (raw) = -1.120 eV per atom
1.0
9.025 0.000 0.003
-4.512 7.815 -0.023
0.002 -5.183 8.668
Te Pu Rb Dy
8 3 3 1
Direct
0.232 0.465 0.696 Te
0.768 0.036 0.304 Te
0.269 0.036 0.304 Te
0.232 0.964 0.696 Te
0.733 0.465 0.698 Te
0.267 0.535 0.302 Te
0.768 0.535 0.304 Te
0.731 0.964 0.696 Te
0.000 0.500 0.500 Pu
0.500 0.500 0.500 Pu
0.500 0.000 0.500 Pu
0.000 0.500 0.000 Rb
0.500 0.500 0.000 Rb
0.000 0.000 0.000 Rb
0.000 0.000 0.500 Dy

---

DyPuRe4 | Alexandria | PBE | relaxed; DOS(E_F) = 1.57 states/eV per atom; energy of formation from the pure elements = -0.07 eV per atom; raw total energy = -11.52 eV/atom; V = 18.734 Å³ per atom
1.0
-2.224 4.936 -0.191
-3.613 1.195 -3.855
-5.218 0.672 1.293
Pu Re Dy
1 4 1
Direct
0.000 0.000 0.000 Pu
0.625 0.625 0.125 Re
0.625 0.125 0.625 Re
0.125 0.625 0.625 Re
0.625 0.625 0.625 Re
0.250 0.250 0.250 Dy

---

Dy2PuRh | Alexandria | PBE | relaxed; DOS(E_F) = 2.06 states/eV per atom; energy of formation from the pure elements = -0.34 eV per atom; raw total energy = -8.06 eV/atom; energy relative to the lowest polymorph listed for this composition = 0.00 eV per formula unit; V = 25.245 Å³ per atom
1.0
3.432 0.000 0.000
0.000 3.432 0.000
0.000 0.000 8.575
Rh Pu Dy
1 1 2
Direct
0.500 0.500 0.000 Rh
0.500 0.500 0.500 Pu
0.000 0.000 0.195 Dy
0.000 0.000 0.805 Dy

---

DyPu5Rh6 | Alexandria | PBE | relaxed; DOS(E_F) = 3.35 states/eV per atom; energy of formation from the pure elements = -0.49 eV per atom; raw total energy = -10.52 eV/atom; V = 20.081 Å³ per atom
1.0
4.624 0.017 -1.348
-0.943 6.063 -3.158
-0.069 0.423 8.372
Rh Dy Pu
6 1 5
Direct
0.500 0.749 0.000 Rh
0.167 0.916 0.334 Rh
0.833 0.084 0.666 Rh
0.500 0.251 0.000 Rh
0.833 0.582 0.666 Rh
0.167 0.418 0.334 Rh
0.000 0.000 0.000 Dy
0.000 0.500 0.000 Pu
0.332 0.332 0.665 Pu
0.334 0.834 0.668 Pu
0.666 0.166 0.332 Pu
0.668 0.668 0.335 Pu

---

DyPu2Rh9 | Alexandria | PBE | relaxed; DOS(E_F) = 2.14 states/eV per atom; energy of formation from the pure elements = -0.43 eV per atom; raw total energy = -8.71 eV/atom; V = 17.449 Å³ per atom
1.0
-0.265 -4.297 -3.002
-1.653 -4.538 2.054
-8.900 -0.918 -2.487
Pu Rh Dy
2 9 1
Direct
0.860 0.860 0.420 Pu
0.140 0.140 0.580 Pu
0.333 0.333 0.000 Rh
0.585 0.585 0.750 Rh
0.415 0.415 0.250 Rh
0.919 0.415 0.250 Rh
0.081 0.585 0.750 Rh
0.667 0.667 0.000 Rh
0.415 0.919 0.250 Rh
0.500 0.500 0.500 Rh
0.585 0.081 0.750 Rh
0.000 0.000 0.000 Dy

---

Dy2PuRh | Alexandria | PBE | relaxed; DOS(E_F) = 2.76 states/eV per atom; energy of formation from the pure elements = -0.05 eV per atom; raw total energy = -7.77 eV/atom; energy relative to the lowest polymorph listed for this composition = 1.16 eV per formula unit; V = 29.055 Å³ per atom
1.0
-0.179 1.259 3.373
-3.131 1.220 1.305
-3.375 -8.652 4.975
Dy Rh Pu
2 1 1
Direct
0.109 0.109 0.672 Dy
0.891 0.891 0.328 Dy
0.500 0.500 0.500 Rh
0.000 0.000 0.000 Pu

---

Dy2PuRh3 | Alexandria | PBE | relaxed; DOS(E_F) = 2.22 states/eV per atom; energy of formation from the pure elements = -0.70 eV per atom; raw total energy = -8.30 eV/atom; V = 20.154 Å³ per atom
1.0
-1.272 2.929 -1.213
-3.109 -0.897 1.094
1.881 4.586 9.102
Dy Rh Pu
2 3 1
Direct
0.500 0.500 0.834 Dy
0.500 0.500 0.166 Dy
0.000 0.000 0.000 Rh
0.000 0.000 0.668 Rh
0.000 0.000 0.332 Rh
0.500 0.500 0.500 Pu